(1)
SrAl3N: relaxed, GGA-PBEsol.

Calculated values
The space group is No. 221. The value obtained for the raw total energy is -10.7 eV/cell.

a b c (Å): 5.9880 5.9880 5.9880
angles (deg): 90.00 90.00 90.00
Closest atoms and distances in Å follow each position.
Positions (direct):
N (0.5000, 0.5000, 0.5000)  12 Al 4.23
Al (0.0000, 0.0000, 0.5000)  2 Sr 2.99
Al (0.5000, 0.0000, 0.0000)  2 Sr 2.99
Al (0.0000, 0.5000, 0.0000)  2 Sr 2.99
Sr (0.0000, 0.0000, 0.0000)  6 Al 2.99

=====

(2)
Tb3AlN: relaxed, GGA-PBEsol.

Calculated values
The space group is No. 221. The value obtained for the raw total energy is -32.6 eV/cell.

a b c (Å): 4.7447 4.7447 4.7447
angles (deg): 90.00 90.00 90.00
Closest atoms and distances in Å follow each position.
Positions (direct):
N (0.5000, 0.5000, 0.5000)  6 Tb 2.37
Tb (0.0000, 0.5000, 0.5000)  2 N 2.37
Tb (0.5000, 0.0000, 0.5000)  2 N 2.37
Tb (0.5000, 0.5000, 0.0000)  2 N 2.37
Al (0.0000, 0.0000, 0.0000)  12 Tb 3.36

=====

(3)
AlTe2N2: relaxed, GGA-PBEsol.

Calculated values
The space group is No. 123. The value obtained for the raw total energy is -23.6 eV/cell.

a b c (Å): 4.0208 4.0208 5.8171
angles (deg): 90.00 90.00 90.00
Closest atoms and distances in Å follow each position.
Positions (direct):
Al (0.0000, 0.0000, 0.0000)  4 N 2.01
N (0.5000, 0.0000, 0.0000)  2 Al 2.01
N (0.0000, 0.5000, 0.0000)  2 Al 2.01
Te (0.5000, 0.5000, 0.5000)  4 Te 2.84
Te (0.0000, 0.0000, 0.5000)  4 Te 2.84, 2 Al 2.91

=====

(4)
AlTeN2: relaxed, GGA-PBEsol.

Calculated values
The space group is No. 166. The energy above the most stable polymorph in this dataset comes out at 0 meV per atom. The value obtained for the raw total energy is -25.1 eV/cell.

a b c (Å): 3.1041 3.1041 6.2833
angles (deg): 75.70 75.70 60.00
Closest atoms and distances in Å follow each position.
Positions (direct):
N (0.1131, 0.1131, 0.6608)  3 Al 2.04, 1 Te 2.04
N (0.8869, 0.8869, 0.3392)  3 Al 2.04, 1 Te 2.04
Te (0.0000, 0.0000, 0.0000)  2 N 2.04
Al (0.5000, 0.5000, 0.5000)  6 N 2.04

=====

(5)
AlTeN2: relaxed, GGA-PBEsol.

Calculated values
The space group is No. 122. The energy above the most stable polymorph in this dataset comes out at 169 meV per atom. The value obtained for the raw total energy is -48.9 eV/cell.

a b c (Å): 5.0656 5.6399 5.0656
angles (deg): 116.68 90.00 116.68
Closest atoms and distances in Å follow each position.
Positions (direct):
N (0.1250, 0.7500, 0.5447)  2 Al 1.88
N (0.6250, 0.7500, 0.2053)  2 Al 1.88
N (0.4553, 0.2500, 0.3750)  2 Al 1.88
N (0.7947, 0.2500, 0.8750)  2 Al 1.88
Te (0.0000, 0.0000, 0.0000)  4 N 2.36
Te (0.2500, 0.5000, 0.7500)  4 N 2.36
Al (0.5000, 0.0000, 0.5000)  4 N 1.88
Al (0.7500, 0.5000, 0.2500)  4 N 1.88

=====

(6)
AlTeN2: relaxed, GGA-PBEsol.

Calculated values
The space group is No. 166. The energy above the most stable polymorph in this dataset comes out at 643 meV per atom. The value obtained for the raw total energy is -22.5 eV/cell.

a b c (Å): 3.4432 3.4432 6.2553
angles (deg): 74.02 74.02 60.00
Closest atoms and distances in Å follow each position.
Positions (direct):
Al (0.0000, 0.0000, 0.0000)  2 N 1.82
N (0.8976, 0.8976, 0.3072)  1 Al 1.82
N (0.1024, 0.1024, 0.6928)  1 Al 1.82
Te (0.5000, 0.5000, 0.5000)  6 N 2.29

=====

(7)
TiAlTe2N: relaxed, GGA-PBEsol.

Calculated values
The space group is No. 123. The value obtained for the raw total energy is -26.9 eV/cell.

a b c (Å): 3.4556 5.4593 5.4593
angles (deg): 90.00 90.00 90.00
Closest atoms and distances in Å follow each position.
Positions (direct):
Te (0.0000, 0.0000, 0.5000)  2 Al 2.73
Te (0.0000, 0.5000, 0.0000)  2 Al 2.73
Ti (0.5000, 0.5000, 0.5000)  8 Te 3.23, 2 Ti 3.46
Al (0.0000, 0.0000, 0.0000)  2 N 1.73
N (0.5000, 0.0000, 0.0000)  2 Al 1.73

=====

(8)
AlTe2WN: relaxed, GGA-PBEsol.

Calculated values
The space group is No. 123. The value obtained for the raw total energy is -28.8 eV/cell.

a b c (Å): 3.4238 5.3557 5.3557
angles (deg): 90.00 90.00 90.00
Closest atoms and distances in Å follow each position.
Positions (direct):
N (0.5000, 0.0000, 0.0000)  2 Al 1.71
Al (0.0000, 0.0000, 0.0000)  2 N 1.71
Te (0.0000, 0.5000, 0.0000)  2 Al 2.68
Te (0.0000, 0.0000, 0.5000)  2 Al 2.68
W (0.5000, 0.5000, 0.5000)  8 Te 3.18, 2 W 3.42

=====

What is the raw total energy in the fifth record? -48.9 eV/cell

=====

Copy entry 4 word for word.
AlTeN2: relaxed, GGA-PBEsol.

Calculated values
The space group is No. 166. The energy above the most stable polymorph in this dataset comes out at 0 meV per atom. The value obtained for the raw total energy is -25.1 eV/cell.

a b c (Å): 3.1041 3.1041 6.2833
angles (deg): 75.70 75.70 60.00
Closest atoms and distances in Å follow each position.
Positions (direct):
N (0.1131, 0.1131, 0.6608)  3 Al 2.04, 1 Te 2.04
N (0.8869, 0.8869, 0.3392)  3 Al 2.04, 1 Te 2.04
Te (0.0000, 0.0000, 0.0000)  2 N 2.04
Al (0.5000, 0.5000, 0.5000)  6 N 2.04

=====

Please write out number 5 again, unchanged.
AlTeN2: relaxed, GGA-PBEsol.

Calculated values
The space group is No. 122. The energy above the most stable polymorph in this dataset comes out at 169 meV per atom. The value obtained for the raw total energy is -48.9 eV/cell.

a b c (Å): 5.0656 5.6399 5.0656
angles (deg): 116.68 90.00 116.68
Closest atoms and distances in Å follow each position.
Positions (direct):
N (0.1250, 0.7500, 0.5447)  2 Al 1.88
N (0.6250, 0.7500, 0.2053)  2 Al 1.88
N (0.4553, 0.2500, 0.3750)  2 Al 1.88
N (0.7947, 0.2500, 0.8750)  2 Al 1.88
Te (0.0000, 0.0000, 0.0000)  4 N 2.36
Te (0.2500, 0.5000, 0.7500)  4 N 2.36
Al (0.5000, 0.0000, 0.5000)  4 N 1.88
Al (0.7500, 0.5000, 0.2500)  4 N 1.88

=====

The lowest raw total energy belongs to which entry? number 5